# Sm3HoEr2Bi6 | Alexandria | GGA-PBE | relaxed
data_Sm3HoEr2Bi6
_space_group_name_H-M_alt 'C 1 2/m 1'
_space_group_IT_number 12
_space_group_name_Hall '-C 2y'
_cell_length_a 19.6282
_cell_length_b 4.5060
_cell_length_c 9.0078
_cell_angle_alpha 90.00
_cell_angle_beta 103.16
_cell_angle_gamma 90.00
loop_
_atom_site_label
_atom_site_type_symbol
_atom_site_fract_x
_atom_site_fract_y
_atom_site_fract_z
_atom_site_occupancy
Sm1 Sm 0.0000 0.0000 0.0000 1
Sm2 Sm 0.1665 0.5000 0.3330 1
Ho1 Ho 0.0000 0.0000 0.5000 1
Er1 Er 0.1667 0.5000 0.8330 1
Bi1 Bi 0.0018 0.5000 0.7464 1
Bi2 Bi 0.1652 0.0000 0.5876 1
Bi3 Bi 0.1684 0.0000 0.0788 1
# Magnetic moment = 0.0 μB per formula unit
# Energy = -61.61 eV/f.u.
# Formation energy from the elements = -871.9 meV per atom

---

# SmHoEr2Bi4 | Alexandria | GGA-PBE | relaxed
data_SmHoEr2Bi4
_space_group_name_H-M_alt 'P 1 2/m 1'
_space_group_IT_number 10
_space_group_name_Hall '-P 2y'
_cell_length_a 7.7555
_cell_length_b 4.4823
_cell_length_c 7.7569
_cell_angle_alpha 90.00
_cell_angle_beta 109.48
_cell_angle_gamma 90.00
loop_
_atom_site_label
_atom_site_type_symbol
_atom_site_fract_x
_atom_site_fract_y
_atom_site_fract_z
_atom_site_occupancy
Sm1 Sm 0.0000 0.0000 0.0000 1
Ho1 Ho 0.0000 0.5000 0.5000 1
Er1 Er 0.5000 0.0000 0.5000 1
Er2 Er 0.5000 0.5000 0.0000 1
Bi1 Bi 0.2534 0.0000 0.7481 1
Bi2 Bi 0.2554 0.5000 0.2549 1
# Magnetic moment = 0.0 μB per formula unit
# Energy = -40.70 eV/f.u.
# Formation energy from the elements = -844.1 meV per atom

---

# TbHo2Er3Bi6 | Alexandria | GGA-PBE | relaxed
data_TbHo2Er3Bi6
_space_group_name_H-M_alt 'C 1 2/m 1'
_space_group_IT_number 12
_space_group_name_Hall '-C 2y'
_cell_length_a 19.4142
_cell_length_b 4.4547
_cell_length_c 8.9117
_cell_angle_alpha 90.00
_cell_angle_beta 103.19
_cell_angle_gamma 90.00
loop_
_atom_site_label
_atom_site_type_symbol
_atom_site_fract_x
_atom_site_fract_y
_atom_site_fract_z
_atom_site_occupancy
Tb1 Tb 0.0000 0.0000 0.0000 1
Ho1 Ho 0.1668 0.5000 0.3331 1
Er1 Er 0.0000 0.0000 0.5000 1
Er2 Er 0.1663 0.5000 0.8329 1
Bi1 Bi 0.0000 0.5000 0.2522 1
Bi2 Bi 0.1664 0.0000 0.5836 1
Bi3 Bi 0.1676 0.0000 0.0829 1
# Magnetic moment = 0.0 μB per formula unit
# Energy = -60.74 eV/f.u.
# Formation energy from the elements = -831.7 meV per atom

---

# TbHo3Er2Bi6 | Alexandria | GGA-PBE | relaxed
data_TbHo3Er2Bi6
_space_group_name_H-M_alt 'C 1 2/m 1'
_space_group_IT_number 12
_space_group_name_Hall '-C 2y'
_cell_length_a 19.4278
_cell_length_b 4.4566
_cell_length_c 8.9155
_cell_angle_alpha 90.00
_cell_angle_beta 103.20
_cell_angle_gamma 90.00
loop_
_atom_site_label
_atom_site_type_symbol
_atom_site_fract_x
_atom_site_fract_y
_atom_site_fract_z
_atom_site_occupancy
Tb1 Tb 0.0000 0.0000 0.0000 1
Ho1 Ho 0.0000 0.0000 0.5000 1
Ho2 Ho 0.1661 0.5000 0.8330 1
Er1 Er 0.1669 0.5000 0.3333 1
Bi1 Bi 0.0005 0.5000 0.2519 1
Bi2 Bi 0.1674 0.0000 0.0843 1
Bi3 Bi 0.1668 0.0000 0.5826 1
# Magnetic moment = 0.0 μB per formula unit
# Energy = -60.80 eV/f.u.
# Formation energy from the elements = -835.5 meV per atom

---

# HoErBiTe | Alexandria | GGA-PBE | relaxed
data_HoErBiTe
_space_group_name_H-M_alt 'P 4 m m'
_space_group_IT_number 99
_space_group_name_Hall 'P 4 -2'
_cell_length_a 4.3907
_cell_length_b 4.3907
_cell_length_c 6.2078
_cell_angle_alpha 90.00
_cell_angle_beta 90.00
_cell_angle_gamma 90.00
loop_
_atom_site_label
_atom_site_type_symbol
_atom_site_fract_x
_atom_site_fract_y
_atom_site_fract_z
_atom_site_occupancy
Ho1 Ho 0.0000 0.0000 0.0000 1
Er1 Er 0.5000 0.5000 0.4984 1
Bi1 Bi 0.5000 0.5000 0.9985 1
Te1 Te 0.0000 0.0000 0.4998 1
# ΔE_f (raw) = -1.0489 eV per atom
# Magnetic moment = 0.0 μB per formula unit
# Energy = -20.36 eV/f.u.

---

# Ho2ErThBi4 | Alexandria | GGA-PBE | relaxed
data_Ho2ErThBi4
_space_group_name_H-M_alt 'P 1 2/m 1'
_space_group_IT_number 10
_space_group_name_Hall '-P 2y'
_cell_length_a 7.7762
_cell_length_b 4.5026
_cell_length_c 7.7796
_cell_angle_alpha 90.00
_cell_angle_beta 109.49
_cell_angle_gamma 90.00
loop_
_atom_site_label
_atom_site_type_symbol
_atom_site_fract_x
_atom_site_fract_y
_atom_site_fract_z
_atom_site_occupancy
Ho1 Ho 0.0000 0.0000 0.0000 1
Ho2 Ho 0.5000 0.5000 0.0000 1
Er1 Er 0.0000 0.5000 0.5000 1
Th1 Th 0.5000 0.0000 0.5000 1
Bi1 Bi 0.2424 0.5000 0.2432 1
Bi2 Bi 0.2461 0.0000 0.7526 1
# Magnetic moment = 0.0 μB per formula unit
# Energy = -42.80 eV/f.u.
# Formation energy from the elements = -767.5 meV per atom